No. 1
Ta2AlPt at its PBEsol-relaxed geometry, computed with SCAN.

a = 3.7737 Å, b = 3.7737 Å, c = 19.5612 Å
α = 90.00°, β = 90.00°, γ = 90.00°
With the nearest neighbours (Å) after each atom.
Space group I-42d (No. 122)
Inequivalent atoms, fractional coordinates:
Ta: 0.2447 0.2500 0.1250 (multiplicity 8)  4 Ta 2.64-2.70, 2 Al 2.78, 2 Pt 2.79
Al: 0.0000 0.0000 0.0000 (multiplicity 4)  4 Pt 2.67, 4 Ta 2.78
Pt: 0.0000 0.0000 0.5000 (multiplicity 4)  4 Al 2.67, 4 Ta 2.79

Properties
ΔH_f (0 K) ... 0.00 eV per atom
Theoretical density ... 13.9 Mg/m³

---

No. 2
KS2BrCl at its PBEsol-relaxed geometry, computed with SCAN.

a = 5.9678 Å, b = 5.9678 Å, c = 5.5150 Å
α = 90.00°, β = 90.00°, γ = 90.00°
With the nearest neighbours (Å) after each atom.
Space group P4/mmm (No. 123)
Inequivalent atoms, fractional coordinates:
K: 0.0000 0.0000 0.0000 (multiplicity 1)  2 Cl 2.76, 4 S 2.98
S: 0.0000 0.5000 0.0000 (multiplicity 2)  2 K 2.98
Br: 0.5000 0.5000 0.5000 (multiplicity 1)  8 S 4.06, 4 Cl 4.22
Cl: 0.0000 0.0000 0.5000 (multiplicity 1)  2 K 2.76

Properties
Calculated total energy ... -52.02 eV per cell
Theoretical density ... 1.8 Mg/m³

---

No. 3
BaNaO2 at its PBEsol-relaxed geometry, computed with SCAN.

a = 5.2478 Å, b = 5.2478 Å, c = 12.2741 Å
α = 90.00°, β = 90.00°, γ = 90.00°
With the nearest neighbours (Å) after each atom.
Space group I-42d (No. 122)
Inequivalent atoms, fractional coordinates:
Ba: 0.0000 0.0000 0.0000 (multiplicity 4)  4 O 2.48
Na: 0.0000 0.0000 0.5000 (multiplicity 4)  4 O 2.34
O: 0.2249 0.2500 0.6250 (multiplicity 8)  2 Na 2.34, 2 Ba 2.48

Properties
Calculated total energy ... -251.00 eV per cell
Theoretical density ... 3.8 Mg/m³

---

No. 4
Ba2ZrRu at its PBEsol-relaxed geometry, computed with SCAN.

a = 3.4153 Å, b = 3.4153 Å, c = 9.7553 Å
α = 90.00°, β = 90.00°, γ = 90.00°
With the nearest neighbours (Å) after each atom.
Space group P4/mmm (No. 123)
Inequivalent atoms, fractional coordinates:
Ba: 0.0000 0.0000 0.2017 (multiplicity 2)  4 Ru 3.12, 4 Ba 3.42
Zr: 0.5000 0.5000 0.5000 (multiplicity 1)  4 Zr 3.42, 8 Ba 3.78
Ru: 0.5000 0.5000 0.0000 (multiplicity 1)  8 Ba 3.12, 4 Ru 3.42

Properties
ΔH_f (0 K) ... 0.88 eV per atom
ΔE to the lowest computed polymorph ... 634 meV/atom
Theoretical density ... 6.8 Mg/m³

---

No. 5
Mn4Al3 at its PBEsol-relaxed geometry, computed with SCAN.

a = 2.8111 Å, b = 2.8111 Å, c = 20.7292 Å
α = 90.00°, β = 90.00°, γ = 90.00°
With the nearest neighbours (Å) after each atom.
Space group I4/mmm (No. 139)
Inequivalent atoms, fractional coordinates:
Mn: 0.0000 0.0000 0.0734 (multiplicity 4)  4 Mn 2.39, 4 Al 2.50
Mn: 0.0000 0.0000 0.3625 (multiplicity 4)  4 Mn 2.39, 4 Al 2.43
Al: 0.0000 0.0000 0.2049 (multiplicity 4)  4 Mn 2.43
Al: 0.0000 0.0000 0.5000 (multiplicity 2)  8 Mn 2.50

Properties
ΔH_f (0 K) ... -0.19 eV per atom
Theoretical density ... 6.1 Mg/m³

---

No. 6
GaMoSCl2 at its PBEsol-relaxed geometry, computed with SCAN.

a = 4.8742 Å, b = 4.8742 Å, c = 4.5789 Å
α = 90.00°, β = 90.00°, γ = 90.00°
With the nearest neighbours (Å) after each atom.
Space group P4/mmm (No. 123)
Inequivalent atoms, fractional coordinates:
Ga: 0.0000 0.0000 0.0000 (multiplicity 1)  8 Cl 3.34, 4 S 3.45
Mo: 0.5000 0.5000 0.5000 (multiplicity 1)  2 S 2.29, 4 Cl 2.44
S: 0.5000 0.5000 0.0000 (multiplicity 1)  2 Mo 2.29
Cl: 0.0000 0.5000 0.5000 (multiplicity 2)  2 Mo 2.44

Properties
Calculated total energy ... -78.69 eV per cell
Theoretical density ... 4.1 Mg/m³

---

No. 7
HoCO4 at its PBEsol-relaxed geometry, computed with SCAN.

a = 11.7462 Å, b = 11.7462 Å, c = 9.5790 Å
α = 90.00°, β = 90.00°, γ = 120.00°
With the nearest neighbours (Å) after each atom.
Space group P-6 (No. 174)
Inequivalent atoms, fractional coordinates:
Ho: 0.1041 0.5541 0.2466 (multiplicity 6)  9 O 2.28-2.50
Ho: 0.1126 0.2280 0.2584 (multiplicity 6)  9 O 2.29-2.53
Ho: 0.4392 0.2180 0.2442 (multiplicity 6)  9 O 2.29-2.49
C: 0.1655 0.6952 0.5000 (multiplicity 3)  3 O 1.28-1.29
C: 0.1991 0.0230 0.0000 (multiplicity 3)  3 O 1.28-1.29
C: 0.2058 0.0934 0.5000 (multiplicity 3)  3 O 1.28-1.29
C: 0.2217 0.7604 0.0000 (multiplicity 3)  3 O 1.29
C: 0.4957 0.3574 0.5000 (multiplicity 3)  3 O 1.29
C: 0.5525 0.4262 0.0000 (multiplicity 3)  3 O 1.28-1.29
O: 0.0000 0.0000 0.2482 (multiplicity 2)  3 Ho 2.32
O: 0.0003 0.3368 0.3049 (multiplicity 6)  3 Ho 2.28-2.30, 3 O 2.45-2.55
O: 0.0327 0.1758 0.5000 (multiplicity 3)  1 C 1.28
O: 0.0911 0.1848 0.0000 (multiplicity 3)  1 C 1.29
O: 0.1527 0.6343 0.0000 (multiplicity 3)  1 C 1.29
O: 0.1581 0.5818 0.5000 (multiplicity 3)  1 C 1.29
O: 0.1660 0.7475 0.3821 (multiplicity 6)  1 C 1.28
O: 0.1770 0.4328 0.1170 (multiplicity 6)  1 C 1.29
O: 0.2370 0.1561 0.3829 (multiplicity 6)  1 C 1.29
O: 0.2499 0.0767 0.1177 (multiplicity 6)  1 C 1.28
O: 0.3292 0.3282 0.1937 (multiplicity 6)  3 Ho 2.29-2.31, 3 O 2.48-2.52
O: 0.3333 0.6667 0.2540 (multiplicity 2)  3 Ho 2.33
O: 0.4849 0.2422 0.5000 (multiplicity 3)  1 C 1.29
O: 0.4917 0.3003 0.0000 (multiplicity 3)  1 C 1.28
O: 0.4985 0.4102 0.3815 (multiplicity 6)  1 C 1.29
O: 0.5103 0.0931 0.1166 (multiplicity 6)  1 C 1.29
O: 0.6667 0.3333 0.2483 (multiplicity 2)  3 Ho 2.31

Properties
ΔE to the lowest computed polymorph ... 0 meV/atom
Theoretical density ... 6.3 Mg/m³

---

No. 8
MgTe2Os at its PBEsol-relaxed geometry, computed with SCAN.

a = 3.1741 Å, b = 4.4037 Å, c = 12.5388 Å
α = 90.00°, β = 90.00°, γ = 90.00°
With the nearest neighbours (Å) after each atom.
Space group Imm2 (No. 44)
Inequivalent atoms, fractional coordinates:
Mg: 0.0000 0.0000 0.0000 (multiplicity 2)  6 Te 2.92-3.12, 2 Os 3.02, 2 Mg 3.17
Te: 0.0000 0.0000 0.3770 (multiplicity 2)  2 Os 2.68
Te: 0.0000 0.5000 0.1532 (multiplicity 2)  4 Os 2.79, 2 Mg 2.92
Os: 0.0000 0.5000 0.7045 (multiplicity 2)  6 Te 2.68-2.79

Properties
Calculated total energy ... -301.27 eV per cell
Theoretical density ... 8.9 Mg/m³

---

No. 9
Tl2PtCl at its PBEsol-relaxed geometry, computed with SCAN.

a = 3.2482 Å, b = 4.7905 Å, c = 5.6699 Å
α = 90.00°, β = 90.00°, γ = 90.00°
With the nearest neighbours (Å) after each atom.
Space group Pmmm (No. 47)
Inequivalent atoms, fractional coordinates:
Tl: 0.0000 0.0000 0.0000 (multiplicity 1)  2 Pt 2.83, 4 Cl 2.89
Tl: 0.5000 0.5000 0.5000 (multiplicity 1)  2 Cl 2.83, 4 Pt 2.89
Pt: 0.0000 0.0000 0.5000 (multiplicity 1)  6 Tl 2.83-2.89
Cl: 0.5000 0.5000 0.0000 (multiplicity 1)  6 Tl 2.83-2.89

Properties
ΔE to the lowest computed polymorph ... 29 meV/atom
Theoretical density ... 12.0 Mg/m³

---

No. 10
Mg2AuSe at its PBEsol-relaxed geometry, computed with SCAN.

a = 3.7707 Å, b = 3.7707 Å, c = 11.3891 Å
α = 90.00°, β = 90.00°, γ = 90.00°
With the nearest neighbours (Å) after each atom.
Space group I-4m2 (No. 119)
Inequivalent atoms, fractional coordinates:
Mg: 0.0000 0.0000 0.0000 (multiplicity 2)  4 Se 2.67
Mg: 0.0000 0.5000 0.2500 (multiplicity 2)  4 Au 2.67
Au: 0.0000 0.5000 0.7500 (multiplicity 2)  4 Mg 2.67
Se: 0.0000 0.0000 0.5000 (multiplicity 2)  4 Mg 2.67

Properties
Calculated total energy ... -203.50 eV per cell
Theoretical density ... 6.7 Mg/m³

---

No. 11
Y2MnCl at its PBEsol-relaxed geometry, computed with SCAN.

a = 3.4463 Å, b = 3.4463 Å, c = 27.9773 Å
α = 90.00°, β = 90.00°, γ = 120.00°
With the nearest neighbours (Å) after each atom.
Space group R3m (No. 160, hexagonal axes)
Inequivalent atoms, fractional coordinates:
Y: 0.0000 0.0000 0.0000 (multiplicity 3)  3 Mn 3.00
Y: 0.0000 0.0000 0.2298 (multiplicity 3)  3 Cl 2.79
Mn: 0.0000 0.0000 0.7467 (multiplicity 3)  3 Cl 2.99, 3 Y 3.00
Cl: 0.0000 0.0000 0.4932 (multiplicity 3)  3 Y 2.79, 3 Mn 2.99

Properties
ΔE to the lowest computed polymorph ... 0 meV/atom
Theoretical density ... 4.6 Mg/m³

---

No. 12
La4HgIr at its PBEsol-relaxed geometry, computed with SCAN.

a = 8.6078 Å, b = 8.6078 Å, c = 8.6078 Å
α = 90.00°, β = 90.00°, γ = 90.00°
With the nearest neighbours (Å) after each atom.
Space group F-43m (No. 216)
Inequivalent atoms, fractional coordinates:
La: 0.1238 0.1238 0.3762 (multiplicity 16)  6 La 3.01-3.07
Hg: 0.0000 0.0000 0.0000 (multiplicity 4)  12 La 3.57, 4 Ir 3.73
Ir: 0.2500 0.2500 0.7500 (multiplicity 4)  12 La 3.57, 4 Hg 3.73

Properties
ΔH_f (0 K) ... 0.46 eV per atom
Theoretical density ... 9.9 Mg/m³

---

> What is the theoretical density in the second record?

1.8 Mg/m³